<1>
VASP calculation (PBE) on a relaxed ScCoAg3 crystal.

Cell and atoms, written as extended XYZ:
```
5
Lattice="-1.210 -0.388 4.903 4.113 -2.849 0.789 2.697 4.170 0.996" Properties=species:S:1:pos:R:3 pbc="T T T"
Ag 1.349 2.085 0.498
Ag 2.057 -1.424 0.394
Ag -0.605 -0.194 2.452
Sc 0.000 0.000 0.000
Co 2.800 0.466 3.344
```

---

<2>
VASP calculation (PBE) on a relaxed ScCoAg3 crystal.

Cell and atoms, written as extended XYZ:
```
5
Lattice="-0.920 -3.894 2.540 4.335 0.218 1.905 -1.682 2.693 3.519" Properties=species:S:1:pos:R:3 pbc="T T T"
Sc 0.866 -0.491 3.982
Ag 2.167 0.109 0.952
Ag -0.841 1.347 1.760
Ag -0.460 -1.947 1.270
Co 0.000 0.000 0.000
```

---

Which one sits at the bottom of the stability order? <1> does.

---

<1>
VASP calculation (PBE) on a relaxed TbScCoAg crystal.

Cell and atoms, written as extended XYZ:
```
4
Lattice="-4.770 0.009 0.657 -2.878 -2.125 -3.223 -2.282 -4.086 1.135" Properties=species:S:1:pos:R:3 pbc="T T T"
Co -7.448 -4.652 -1.073
Sc -4.965 -3.101 -0.716
Ag -2.483 -1.551 -0.358
Tb 0.000 0.000 0.000
```

---

<2>
VASP calculation (PBE) on a relaxed TbScCoAg crystal.

Cell and atoms, written as extended XYZ:
```
4
Lattice="-1.642 1.606 2.298 0.121 -2.620 1.917 6.403 2.411 2.892" Properties=species:S:1:pos:R:3 pbc="T T T"
Tb 4.275 1.388 4.382
Ag 0.609 0.229 0.275
Co 3.515 1.323 1.587
Sc 1.507 0.347 3.132
```

---

Which one sits at the bottom of the stability order? <1> does.